Density functional theory data (GGA-PBE) for a geometry-optimized Cu3Ag7 structure.

a = 7.5812 Å, b = 7.5812 Å, c = 4.8851 Å
α = 95.72°, β = 95.72°, γ = 142.41°
Fractional positions:
Cu  0.0000  0.0000  0.0000
Cu  0.5045  0.4955  0.5000
Cu  0.8079  0.1921  0.0000
Ag  0.0980  0.9020  0.5000
Ag  0.2046  0.7954  0.0000
Ag  0.3068  0.6932  0.5000
Ag  0.4072  0.5928  0.0000
Ag  0.6009  0.3991  0.0000
Ag  0.7047  0.2953  0.5000
Ag  0.9057  0.0943  0.5000

Results
**SG**: C2
**Energy above the lowest structure with this stoichiometry**: 52 meV per atom
**Formation energy from the elements**: 0.081 eV per atom